(1)
AsSCl2 PBE relaxed; space group = No. 122; raw formation energy = 84.4 meV/atom
1.0
9.5019 0.0000 0.0000
0.0000 9.5019 0.0000
0.0000 0.0000 4.7658
As S Cl
4 4 8
Cartesian
0.0000 0.0000 0.0000 As
0.0000 4.7509 1.1915 As
4.7509 0.0000 3.5744 As
4.7509 4.7509 2.3829 As
0.0000 0.0000 2.3829 S
0.0000 4.7509 3.5744 S
4.7509 0.0000 1.1915 S
4.7509 4.7509 0.0000 S
0.8681 2.3755 0.5957 Cl
2.3755 5.6190 1.7872 Cl
2.3755 8.6338 4.1701 Cl
3.8829 2.3755 2.9786 Cl
5.6190 7.1264 2.9786 Cl
7.1264 0.8681 4.1701 Cl
7.1264 3.8829 1.7872 Cl
8.6338 7.1264 0.5957 Cl

(2)
AsSCl PBE relaxed; space group = No. 2; raw formation energy = -362.0 meV/atom
1.0
3.3914 0.0000 0.0000
0.0025 7.7103 0.0000
1.6705 1.3469 7.4885
As S Cl
2 2 2
Cartesian
0.8488 1.8528 0.5708 As
4.2156 7.2045 6.9176 As
2.5200 8.3309 5.8164 S
2.5444 0.7263 1.6721 S
0.8504 3.7519 1.7784 Cl
4.2140 5.3053 5.7101 Cl

(3)
AsS5Cl PBE relaxed; space group = No. 1; raw formation energy = -143.4 meV/atom
1.0
5.4574 0.0000 0.0000
-2.5767 6.2641 0.0000
-0.8834 -1.7185 6.9425
As S Cl
1 5 1
Cartesian
0.0000 0.0000 0.0000 As
-2.0956 2.7388 6.5526 S
-1.2581 3.4732 3.3925 S
0.7595 -0.8031 3.3781 S
4.6382 -0.5145 2.0989 S
2.8584 2.4420 4.5818 S
1.5373 1.4985 0.5801 Cl

(4)
AsS3Cl PBE relaxed; space group = No. 221; raw formation energy = 798.7 meV/atom
1.0
4.7625 0.0000 0.0000
0.0000 4.7625 0.0000
0.0000 0.0000 4.7625
As S Cl
1 3 1
Cartesian
0.0000 0.0000 0.0000 As
0.0000 0.0000 2.3813 S
0.0000 2.3813 0.0000 S
2.3813 0.0000 0.0000 S
2.3813 2.3813 2.3813 Cl

(5)
AsSe2SCl PBE relaxed; space group = No. 123; raw formation energy = 674.6 meV/atom
1.0
4.8454 0.0000 0.0000
0.0000 4.8454 0.0000
0.0000 0.0000 4.9947
As Se S Cl
1 2 1 1
Cartesian
0.0000 0.0000 0.0000 As
0.0000 2.4227 2.4974 Se
2.4227 0.0000 2.4974 Se
0.0000 0.0000 2.4974 S
2.4227 2.4227 0.0000 Cl

(6)
AsSeSCl2 PBE relaxed; space group = No. 123; raw formation energy = 363.5 meV/atom
1.0
4.8740 0.0000 0.0000
0.0000 4.8740 0.0000
0.0000 0.0000 5.1478
As Se S Cl
1 1 1 2
Cartesian
0.0000 0.0000 0.0000 As
2.4370 2.4370 2.5739 Se
0.0000 0.0000 2.5739 S
0.0000 2.4370 0.0000 Cl
2.4370 0.0000 0.0000 Cl

(7)
SiAsS2Cl PBE relaxed; space group = No. 123; raw formation energy = 296.6 meV/atom
1.0
4.6186 0.0000 0.0000
0.0000 4.6186 0.0000
0.0000 0.0000 4.4617
Si As S Cl
1 1 2 1
Cartesian
0.0000 0.0000 0.0000 Si
2.3093 2.3093 2.2309 As
0.0000 2.3093 0.0000 S
2.3093 0.0000 0.0000 S
0.0000 0.0000 2.2309 Cl

(8)
Sm4AsS2Cl PBE relaxed; space group = No. 10; raw formation energy = -1765.3 meV/atom
1.0
7.0643 0.0000 0.0000
0.0000 4.0962 0.0000
-2.3873 0.0000 6.6940
Sm As S Cl
4 1 2 1
Cartesian
1.0630 0.0000 1.4792 Sm
-0.1406 2.0481 5.1383 Sm
4.8176 2.0481 1.5558 Sm
3.6139 0.0000 5.2148 Sm
-1.1936 0.0000 3.3470 As
0.0000 2.0481 0.0000 S
3.5321 0.0000 0.0000 S
2.3385 2.0481 3.3470 Cl

(9)
Sm4As2SCl PBE relaxed; space group = No. 10; raw formation energy = -1654.8 meV/atom
1.0
7.0994 0.0000 0.0000
0.0000 4.1454 0.0000
-2.4160 0.0000 6.8218
Sm As S Cl
4 2 1 1
Cartesian
1.1176 0.0000 1.5853 Sm
-0.1003 2.0727 5.1932 Sm
4.7837 2.0727 1.6286 Sm
3.5659 0.0000 5.2365 Sm
-1.2080 0.0000 3.4109 As
0.0000 2.0727 0.0000 As
3.5497 0.0000 0.0000 S
2.3417 2.0727 3.4109 Cl

(10)
Sm6As2S3Cl PBE relaxed; space group = No. 12; raw formation energy = -1777.6 meV/atom
1.0
8.9414 -2.0482 0.0000
8.9414 2.0482 0.0000
-1.9102 0.0000 7.9775
Sm As S Cl
6 2 3 1
Cartesian
-0.4045 0.0000 1.7928 Sm
4.9842 0.0000 3.3151 Sm
4.2153 0.0000 7.2907 Sm
11.7572 0.0000 0.6867 Sm
10.9883 0.0000 4.6624 Sm
16.3770 0.0000 6.1847 Sm
1.3507 0.0000 6.6066 As
14.6219 0.0000 1.3709 As
2.2878 0.0000 2.6626 S
8.9414 0.0000 0.0000 S
13.6847 0.0000 5.3149 S
7.9863 0.0000 3.9887 Cl

(11)
SrAsSCl2 PBE relaxed; space group = No. 123; raw formation energy = -925.8 meV/atom
1.0
5.0030 0.0000 0.0000
0.0000 5.0030 0.0000
0.0000 0.0000 5.2146
Sr As S Cl
1 1 1 2
Cartesian
0.0000 0.0000 0.0000 Sr
2.5015 2.5015 2.6073 As
2.5015 2.5015 0.0000 S
0.0000 2.5015 2.6073 Cl
2.5015 0.0000 2.6073 Cl

(12)
SrAsSCl2 PBE relaxed; space group = No. 123; raw formation energy = -394.6 meV/atom
1.0
5.4962 0.0000 0.0000
0.0000 5.4962 0.0000
0.0000 0.0000 6.0930
Sr As S Cl
1 1 1 2
Cartesian
0.0000 0.0000 0.0000 Sr
2.7481 2.7481 3.0465 As
0.0000 0.0000 3.0465 S
0.0000 2.7481 0.0000 Cl
2.7481 0.0000 0.0000 Cl

(13)
Sr6As2SCl3 PBE relaxed; space group = No. 12; raw formation energy = -1754.8 meV/atom
1.0
9.5989 -2.2303 0.0000
9.5989 2.2303 0.0000
-1.8608 0.0000 8.5721
Sr As S Cl
6 2 1 3
Cartesian
-0.3379 0.0000 2.0237 Sr
5.4985 0.0000 3.7052 Sr
4.8192 0.0000 7.7815 Sr
12.5179 0.0000 0.7906 Sr
11.8386 0.0000 4.8669 Sr
17.6750 0.0000 6.5484 Sr
2.5605 0.0000 2.7976 As
14.7766 0.0000 5.7744 As
9.5989 0.0000 0.0000 S
1.5708 0.0000 7.1316 Cl
8.6686 0.0000 4.2860 Cl
15.7663 0.0000 1.4405 Cl

(14)
Sr6AsS3Cl2 PBE relaxed; space group = No. 12; raw formation energy = -1925.8 meV/atom
1.0
3.7451 -6.4803 0.0000
3.7451 6.4803 0.0000
-2.4810 0.0000 7.1154
Sr As S Cl
6 1 3 2
Cartesian
-0.0288 2.0874 5.4345 Sr
1.1641 0.0000 1.6730 Sr
-0.0288 -2.0874 5.4345 Sr
5.0382 2.0874 1.6809 Sr
3.8452 0.0000 5.4423 Sr
5.0382 -2.0874 1.6809 Sr
-1.2405 0.0000 3.5577 As
3.7451 4.2666 0.0000 S
3.7451 0.0000 0.0000 S
3.7451 -4.2666 0.0000 S
2.5047 2.1477 3.5577 Cl
2.5047 -2.1477 3.5577 Cl

(15)
Sr4AsSCl2 PBE relaxed; space group = No. 10; raw formation energy = -1789.9 meV/atom
1.0
7.5290 0.0000 0.0000
0.0000 4.4239 0.0000
-2.5821 0.0000 7.1614
Sr As S Cl
4 1 1 2
Cartesian
1.0882 0.0000 1.7336 Sr
-0.1932 2.2120 5.3235 Sr
5.1402 2.2120 1.8379 Sr
3.8588 0.0000 5.4278 Sr
-1.2910 0.0000 3.5807 As
0.0000 2.2120 0.0000 S
3.7645 0.0000 0.0000 Cl
2.4735 2.2120 3.5807 Cl

(16)
TaAsS2Cl PBE relaxed; space group = No. 123; raw formation energy = 900.8 meV/atom
1.0
4.8255 0.0000 0.0000
0.0000 4.8255 0.0000
0.0000 0.0000 4.6282
Ta As S Cl
1 1 2 1
Cartesian
0.0000 0.0000 0.0000 Ta
2.4127 2.4127 2.3141 As
0.0000 2.4127 2.3141 S
2.4127 0.0000 2.3141 S
2.4127 2.4127 0.0000 Cl

(17)
TaAsS2Cl PBE relaxed; space group = No. 123; raw formation energy = -0.6 meV/atom
1.0
4.8270 0.0000 0.0000
0.0000 4.8270 0.0000
0.0000 0.0000 4.8822
Ta As S Cl
1 1 2 1
Cartesian
0.0000 0.0000 0.0000 Ta
2.4135 2.4135 2.4411 As
0.0000 2.4135 0.0000 S
2.4135 0.0000 0.0000 S
0.0000 0.0000 2.4411 Cl

(18)
ThAsS4Cl PBE relaxed; space group = No. 12; raw formation energy = -888.6 meV/atom
1.0
5.5498 -4.4785 0.0000
5.5498 4.4785 0.0000
-2.0722 0.0000 7.9161
Th As S Cl
2 2 8 2
Cartesian
2.1123 0.0000 0.9472 Th
6.9150 0.0000 6.9689 Th
2.4671 0.0000 5.6936 As
6.5603 0.0000 2.2224 As
1.7022 1.6079 7.1134 S
1.3632 0.0000 3.8303 S
4.4187 0.0000 2.4570 S
7.3252 1.6079 0.8026 S
1.7022 -1.6079 7.1134 S
4.6086 0.0000 5.4590 S
7.6642 0.0000 4.0857 S
7.3252 -1.6079 0.8026 S
-1.4247 0.0000 6.4233 Cl
10.4521 0.0000 1.4928 Cl

(19)
VAsS2Cl PBE relaxed; space group = No. 123; raw formation energy = 21.3 meV/atom
1.0
4.6720 0.0000 0.0000
0.0000 4.6720 0.0000
0.0000 0.0000 4.6675
V As S Cl
1 1 2 1
Cartesian
0.0000 0.0000 0.0000 V
2.3360 2.3360 2.3337 As
0.0000 2.3360 0.0000 S
2.3360 0.0000 0.0000 S
0.0000 0.0000 2.3337 Cl

(20)
VAsS2Cl PBE relaxed; space group = No. 123; raw formation energy = 453.3 meV/atom
1.0
4.8559 0.0000 0.0000
0.0000 4.8559 0.0000
0.0000 0.0000 4.7046
V As S Cl
1 1 2 1
Cartesian
0.0000 0.0000 0.0000 V
2.4279 2.4279 2.3523 As
0.0000 2.4279 2.3523 S
2.4279 0.0000 2.3523 S
2.4279 2.4279 0.0000 Cl